Record 1
The following is a DFT calculation (PBE) of Sr2CrOsAu after structural relaxation.

Summary:
Calculated formation energy = 0.67 eV per atom
Space group = P4/mmm (123)

abc: 5.923 5.923 4.355
angles: 90.00 90.00 90.00
Fractional coordinates of all 5 atoms:
Sr 0.000 0.500 0.000
Sr 0.500 0.000 0.000
Cr 0.000 0.000 0.000
Os 0.000 0.000 0.500
Au 0.500 0.500 0.500

***

Record 2
The following is a DFT calculation (PBE) of HoIn2Cu6 after structural relaxation.

Summary:
Calculated formation energy = -0.01 eV per atom
Space group = Immm (71)

abc: 7.440 7.440 7.440
angles: 152.59 124.60 62.89
Fractional coordinates of all 9 atoms:
Ho 0.000 0.000 0.000
In 0.360 0.860 0.500
In 0.640 0.140 0.500
Cu 0.005 0.324 0.682
Cu 0.324 0.500 0.824
Cu 0.358 0.676 0.682
Cu 0.642 0.324 0.318
Cu 0.676 0.500 0.176
Cu 0.995 0.676 0.318

***

Record 3
The following is a DFT calculation (PBE) of AcInRh after structural relaxation.

Summary:
Polymorph energy (0 for the lowest one) = 161 meV/atom
Calculated formation energy = -0.51 eV per atom
Space group = P3m1 (156)

abc: 4.680 4.680 4.277
angles: 90.00 90.00 120.00
Fractional coordinates of all 3 atoms:
Ac 0.000 0.000 0.000
In 0.333 0.667 0.499
Rh 0.667 0.333 0.486

***

Record 4
The following is a DFT calculation (PBE) of BeCo3S after structural relaxation.

Summary:
Polymorph energy (0 for the lowest one) = 0 meV/atom
Energy relative to the elements, uncorrected = 0.39 eV/atom
Space group = Pm-3m (221)

abc: 4.034 4.034 4.034
angles: 90.00 90.00 90.00
Fractional coordinates of all 5 atoms:
Be 0.000 0.000 0.000
Co 0.000 0.500 0.500
Co 0.500 0.000 0.500
Co 0.500 0.500 0.000
S 0.500 0.500 0.500

***

| no. | size of the total moment (μB/f.u.) |
| --- | --- |
| 1 | 2.51 |
| 2 | 0.00 |
| 3 | 0.00 |
| 4 | 2.76 |